Version P
Density functional theory data (PBE) for HfScC3 after structural relaxation.

Summary:
Total moment: 0.00 μB/atom

a b c (Å): 4.196 4.196 4.196
angles (deg): 90.00 90.00 90.00
Atoms (fractional coordinates):
Sc 0.500 0.500 0.500
C 0.000 0.500 0.000
C 0.000 0.000 0.500
C 0.500 0.000 0.000
Hf 0.000 0.000 0.000

Version Q
Density functional theory data (PBE) for HfScC3 after structural relaxation.

Summary:
Total moment: 0.00 μB/atom

a b c (Å): 4.029 4.029 4.029
angles (deg): 90.00 90.00 90.00
Atoms (fractional coordinates):
C 0.500 0.000 0.000
C 0.000 0.500 0.000
C 0.000 0.000 0.500
Sc 0.000 0.000 0.000
Hf 0.500 0.500 0.500

Name the most stable of them. version P.

Version P
Density functional theory data (PBE) for Hf2ZrScC after structural relaxation.

Summary:
Total moment: 0.00 μB/atom

a b c (Å): 4.933 4.915 4.933
angles (deg): 90.00 90.00 90.00
Atoms (fractional coordinates):
Hf 0.500 0.000 0.000
Hf 0.000 0.000 0.500
Sc 0.000 0.000 0.000
C 0.500 0.500 0.500
Zr 0.000 0.500 0.000

Version Q
Density functional theory data (PBE) for Hf2ZrScC after structural relaxation.

Summary:
Total moment: 0.00 μB/atom

a b c (Å): 4.555 4.555 4.703
angles (deg): 90.00 90.00 90.00
Atoms (fractional coordinates):
Zr 0.000 0.000 0.500
C 0.000 0.000 0.000
Sc 0.500 0.500 0.500
Hf 0.000 0.500 0.000
Hf 0.500 0.000 0.000

Version R
Density functional theory data (PBE) for Hf2ZrScC after structural relaxation.

Summary:
Total moment: 0.20 μB/atom

a b c (Å): 4.568 4.568 4.626
angles (deg): 90.00 90.00 90.00
Last column: magnetic moment on the atom in μB.
Atoms (fractional coordinates):
Zr 0.500 0.500 0.500  0.28
Sc 0.000 0.000 0.500  0.15
Hf 0.500 0.000 0.000  0.08
Hf 0.000 0.500 0.000  0.08
C 0.000 0.000 0.000  0.02

Name the most stable of them. version Q.

Version P
Density functional theory data (PBE) for HfC3Se after structural relaxation.

Summary:
Total moment: 0.00 μB/atom

a b c (Å): 4.356 4.356 4.356
angles (deg): 90.00 90.00 90.00
Atoms (fractional coordinates):
C 0.500 0.000 0.000
C 0.000 0.000 0.500
C 0.000 0.500 0.000
Hf 0.000 0.000 0.000
Se 0.500 0.500 0.500

Version Q
Density functional theory data (PBE) for HfC3Se after structural relaxation.

Summary:
Total moment: 0.00 μB/atom

a b c (Å): 3.870 3.870 3.870
angles (deg): 90.00 90.00 90.00
Atoms (fractional coordinates):
C 0.500 0.000 0.000
C 0.000 0.500 0.000
C 0.000 0.000 0.500
Hf 0.500 0.500 0.500
Se 0.000 0.000 0.000

Name the most stable of them. version Q.

Version P
Density functional theory data (PBE) for Hf3CSe after structural relaxation.

Summary:
Total moment: 0.00 μB/atom

a b c (Å): 4.498 4.498 4.498
angles (deg): 90.00 90.00 90.00
Atoms (fractional coordinates):
Hf 0.000 0.500 0.000
Hf 0.000 0.000 0.500
Hf 0.500 0.000 0.000
C 0.000 0.000 0.000
Se 0.500 0.500 0.500

Version Q
Density functional theory data (PBE) for Hf3CSe after structural relaxation.

Summary:
Total moment: 0.00 μB/atom

a b c (Å): 5.875 8.033 8.033
angles (deg): 79.69 83.37 83.37
Atoms (fractional coordinates):
Hf 0.945 0.314 0.498
Hf 0.055 0.686 0.502
Hf 0.950 0.660 0.146
Hf 0.447 0.817 0.985
Hf 0.553 0.183 0.015
Hf 0.550 0.854 0.340
Hf 0.445 0.498 0.314
Hf 0.555 0.502 0.686
Hf 0.450 0.146 0.660
Hf 0.053 0.015 0.183
Hf 0.050 0.340 0.854
Hf 0.947 0.985 0.817
C 0.250 0.077 0.923
C 0.750 0.243 0.757
C 0.750 0.923 0.077
C 0.250 0.757 0.243
Se 0.335 0.173 0.337
Se 0.165 0.663 0.827
Se 0.835 0.337 0.173
Se 0.665 0.827 0.663

Name the most stable of them. version Q.